[1]
Here is crystalline NdGdTe2 at its relaxed geometry from Alexandria. Energies are from GGA-PBE. Values from VASP.

```
&SYSTEM
  ibrav = 0, nat = 4, ntyp = 3
/
ATOMIC_SPECIES
Nd 144.24 Nd.upf
Gd 157.25 Gd.upf
Te 127.60 Te.upf
ATOMIC_POSITIONS angstrom
Nd 0.000 0.000 0.000
Gd 0.000 0.000 3.855
Te 1.925 1.925 1.956
Te 1.925 1.925 5.755
CELL_PARAMETERS angstrom
3.849 0.000 0.000
0.000 3.849 0.000
0.000 0.000 7.710
```

- D(E_F): 5.2 states/eV/f.u.
- Polymorph energy (0 for the lowest one): 123 meV per atom
- Formation energy without anion corrections: -5.2 eV/f.u.
- Magnetic moment: 8.10 μB per cell
- Space-group type: P4/mmm (123)
- Total DFT energy (no corrections): -7.5840 eV/atom

=====

[2]
Here is crystalline NdGdTe2 at its relaxed geometry from Alexandria. Energies are from GGA-PBE. Values from VASP.

```
&SYSTEM
  ibrav = 0, nat = 4, ntyp = 3
/
ATOMIC_SPECIES
Nd 144.24 Nd.upf
Gd 157.25 Gd.upf
Te 127.60 Te.upf
ATOMIC_POSITIONS angstrom
Nd 0.000 0.000 0.000
Gd 0.000 0.000 10.925
Te 0.000 0.000 5.404
Te 0.000 0.000 16.446
CELL_PARAMETERS angstrom
2.226 1.285 7.283
-2.226 1.285 7.283
0.000 -2.571 7.283
```

- D(E_F): 3.4 states/eV/f.u.
- Polymorph energy (0 for the lowest one): 0 meV per atom
- Formation energy without anion corrections: -5.7 eV/f.u.
- Magnetic moment: 6.84 μB per cell
- Space-group type: R-3m (166)
- Total DFT energy (no corrections): -7.7075 eV/atom

=====

[3]
Here is crystalline Nd2GdTh at its relaxed geometry from Alexandria. Energies are from GGA-PBE. Values from VASP.

```
&SYSTEM
  ibrav = 0, nat = 4, ntyp = 3
/
ATOMIC_SPECIES
Nd 144.24 Nd.upf
Gd 157.25 Gd.upf
Th 232.04 Th.upf
ATOMIC_POSITIONS angstrom
Nd 2.037 2.037 2.037
Nd 6.112 6.112 6.112
Gd 0.000 0.000 0.000
Th 4.075 4.075 4.075
CELL_PARAMETERS angstrom
0.000 4.075 4.075
4.075 0.000 4.075
4.075 4.075 0.000
```

- Calculated formation energy: 0.182 eV per atom
- D(E_F): 9.6 states/eV/f.u.
- Polymorph energy (0 for the lowest one): 139 meV per atom
- Magnetic moment: 8.27 μB per cell
- Space-group type: Fm-3m (225)
- Total DFT energy (no corrections): -7.5767 eV/atom

=====

[4]
Here is crystalline Nd2GdTh at its relaxed geometry from Alexandria. Energies are from GGA-PBE. Values from VASP.

```
&SYSTEM
  ibrav = 0, nat = 4, ntyp = 3
/
ATOMIC_SPECIES
Nd 144.24 Nd.upf
Gd 157.25 Gd.upf
Th 232.04 Th.upf
ATOMIC_POSITIONS angstrom
Nd 0.000 2.563 0.000
Nd 2.563 0.000 0.000
Gd 0.000 0.000 2.560
Th 2.563 2.563 2.560
CELL_PARAMETERS angstrom
5.126 0.000 0.000
0.000 5.126 0.000
0.000 0.000 5.120
```

- Calculated formation energy: 0.054 eV per atom
- D(E_F): 5.3 states/eV/f.u.
- Polymorph energy (0 for the lowest one): 11 meV per atom
- Magnetic moment: 7.13 μB per cell
- Space-group type: P4/mmm (123)
- Total DFT energy (no corrections): -7.7046 eV/atom

=====

[5]
Here is crystalline Nd2GdTh at its relaxed geometry from Alexandria. Energies are from GGA-PBE. Values from VASP.

```
&SYSTEM
  ibrav = 0, nat = 4, ntyp = 3
/
ATOMIC_SPECIES
Nd 144.24 Nd.upf
Gd 157.25 Gd.upf
Th 232.04 Th.upf
ATOMIC_POSITIONS angstrom
Nd 0.000 0.000 2.487
Nd 0.000 0.000 7.834
Gd 1.811 1.811 5.161
Th 1.811 1.811 0.000
CELL_PARAMETERS angstrom
3.623 0.000 0.000
0.000 3.623 0.000
0.000 0.000 10.321
```

- Calculated formation energy: 0.043 eV per atom
- D(E_F): 6.5 states/eV/f.u.
- Polymorph energy (0 for the lowest one): 0 meV per atom
- Magnetic moment: 7.56 μB per cell
- Space-group type: P4/mmm (123)
- Total DFT energy (no corrections): -7.7159 eV/atom

=====

[6]
Here is crystalline NdGd4Th at its relaxed geometry from Alexandria. Energies are from GGA-PBE. Values from VASP.

```
&SYSTEM
  ibrav = 0, nat = 6, ntyp = 3
/
ATOMIC_SPECIES
Nd 144.24 Nd.upf
Gd 157.25 Gd.upf
Th 232.04 Th.upf
ATOMIC_POSITIONS angstrom
Nd 0.000 0.000 0.000
Gd 3.504 3.504 3.504
Gd 5.827 5.827 3.504
Gd 5.827 3.504 5.827
Gd 3.504 5.827 5.827
Th 6.998 6.998 6.998
CELL_PARAMETERS angstrom
0.000 4.665 4.665
4.665 0.000 4.665
4.665 4.665 0.000
```

- Calculated formation energy: 0.297 eV per atom
- D(E_F): 16.0 states/eV/f.u.
- Magnetic moment: 33.00 μB per cell
- Space-group type: F-43m (216)
- Total DFT energy (no corrections): -11.1216 eV/atom

=====

[7]
Here is crystalline NdGd2Th at its relaxed geometry from Alexandria. Energies are from GGA-PBE. Values from VASP.

```
&SYSTEM
  ibrav = 0, nat = 4, ntyp = 3
/
ATOMIC_SPECIES
Nd 144.24 Nd.upf
Gd 157.25 Gd.upf
Th 232.04 Th.upf
ATOMIC_POSITIONS angstrom
Nd 0.000 0.000 0.000
Gd 1.795 1.795 2.676
Gd 1.795 1.795 7.575
Th 0.000 0.000 5.126
CELL_PARAMETERS angstrom
3.589 0.000 0.000
0.000 3.589 0.000
0.000 0.000 10.251
```

- Calculated formation energy: 0.024 eV per atom
- D(E_F): 6.3 states/eV/f.u.
- Polymorph energy (0 for the lowest one): 0 meV per atom
- Magnetic moment: 14.24 μB per cell
- Space-group type: P4/mmm (123)
- Total DFT energy (no corrections): -10.0629 eV/atom

=====

[8]
Here is crystalline Nd2GdTh at its relaxed geometry from Alexandria. Energies are from GGA-PBE. Values from VASP.

```
&SYSTEM
  ibrav = 0, nat = 4, ntyp = 3
/
ATOMIC_SPECIES
Nd 144.24 Nd.upf
Gd 157.25 Gd.upf
Th 232.04 Th.upf
ATOMIC_POSITIONS angstrom
Nd 0.000 0.000 3.407
Nd 0.000 0.000 34.711
Gd 0.000 0.000 19.059
Th 0.000 0.000 0.000
CELL_PARAMETERS angstrom
1.760 1.016 12.706
-1.760 1.016 12.706
0.000 -2.032 12.706
```

- Calculated formation energy: 0.190 eV per atom
- D(E_F): 5.9 states/eV/f.u.
- Polymorph energy (0 for the lowest one): 147 meV per atom
- Magnetic moment: 7.22 μB per cell
- Space-group type: R-3m (166)
- Total DFT energy (no corrections): -7.5690 eV/atom

=====

[9]
Here is crystalline NdGd2Th at its relaxed geometry from Alexandria. Energies are from GGA-PBE. Values from VASP.

```
&SYSTEM
  ibrav = 0, nat = 4, ntyp = 3
/
ATOMIC_SPECIES
Nd 144.24 Nd.upf
Gd 157.25 Gd.upf
Th 232.04 Th.upf
ATOMIC_POSITIONS angstrom
Nd 0.000 0.000 0.000
Gd 2.028 2.028 2.028
Gd 6.085 6.085 6.085
Th 4.057 4.057 4.057
CELL_PARAMETERS angstrom
0.000 4.057 4.057
4.057 0.000 4.057
4.057 4.057 0.000
```

- Calculated formation energy: 0.157 eV per atom
- D(E_F): 7.7 states/eV/f.u.
- Polymorph energy (0 for the lowest one): 132 meV per atom
- Magnetic moment: 15.59 μB per cell
- Space-group type: Fm-3m (225)
- Total DFT energy (no corrections): -9.9304 eV/atom

=====

[10]
Here is crystalline NdGdTh4 at its relaxed geometry from Alexandria. Energies are from GGA-PBE. Values from VASP.

```
&SYSTEM
  ibrav = 0, nat = 6, ntyp = 3
/
ATOMIC_SPECIES
Nd 144.24 Nd.upf
Gd 157.25 Gd.upf
Th 232.04 Th.upf
ATOMIC_POSITIONS angstrom
Nd 0.000 0.000 0.000
Gd 2.356 2.356 2.356
Th 5.889 3.537 3.537
Th 3.537 5.889 3.537
Th 3.537 3.537 5.889
Th 5.889 5.889 5.889
CELL_PARAMETERS angstrom
0.000 4.713 4.713
4.713 0.000 4.713
4.713 4.713 0.000
```

- Calculated formation energy: 0.259 eV per atom
- D(E_F): 12.7 states/eV/f.u.
- Magnetic moment: 7.45 μB per cell
- Space-group type: F-43m (216)
- Total DFT energy (no corrections): -7.8295 eV/atom

=====

[11]
Here is crystalline NdGd2Th at its relaxed geometry from Alexandria. Energies are from GGA-PBE. Values from VASP.

```
&SYSTEM
  ibrav = 0, nat = 4, ntyp = 3
/
ATOMIC_SPECIES
Nd 144.24 Nd.upf
Gd 157.25 Gd.upf
Th 232.04 Th.upf
ATOMIC_POSITIONS angstrom
Nd 0.000 0.000 0.000
Gd 0.000 2.543 2.547
Gd 2.543 0.000 2.547
Th 2.543 2.543 0.000
CELL_PARAMETERS angstrom
5.085 0.000 0.000
0.000 5.085 0.000
0.000 0.000 5.094
```

- Calculated formation energy: 0.048 eV per atom
- D(E_F): 5.2 states/eV/f.u.
- Polymorph energy (0 for the lowest one): 24 meV per atom
- Magnetic moment: 14.42 μB per cell
- Space-group type: P4/mmm (123)
- Total DFT energy (no corrections): -10.0390 eV/atom

=====

[12]
Here is crystalline NdGdThTl at its relaxed geometry from Alexandria. Energies are from GGA-PBE. Values from VASP.

```
&SYSTEM
  ibrav = 0, nat = 4, ntyp = 4
/
ATOMIC_SPECIES
Nd 144.24 Nd.upf
Gd 157.25 Gd.upf
Th 232.04 Th.upf
Tl 204.38 Tl.upf
ATOMIC_POSITIONS angstrom
Nd 0.000 0.000 0.000
Gd 3.926 3.926 3.926
Th 5.889 5.889 5.889
Tl 1.963 1.963 1.963
CELL_PARAMETERS angstrom
0.000 3.926 3.926
3.926 0.000 3.926
3.926 3.926 0.000
```

- Calculated formation energy: 0.041 eV per atom
- D(E_F): 6.4 states/eV/f.u.
- Magnetic moment: 7.73 μB per cell
- Space-group type: F-43m (216)
- Total DFT energy (no corrections): -7.1182 eV/atom

=====

Which of these has the lowest D(E_F)?
number 2